Computed, not measured: a relaxed structure of LaNpTa at the PBE-GGA level of DFT.

Properties
As for the formation energy from the elements: 1410 meV per atom. The space-group type is F-43m (216).

abc: 4.7785 4.7785 4.7785
angles: 60.00 60.00 60.00
Atoms (fractional coordinates):
La 0.0000 0.0000 0.0000
Np 0.2500 0.2500 0.2500
Ta 0.7500 0.7500 0.7500